(1)
Density functional theory data (GGA-PBE) for a relaxed P2Pb2Se5 crystal.

Output
The calculation puts the raw formation energy at -96 kJ/mol of formula units.

Cell: 3.9285 3.9285 16.8729 Å, 90.00 90.00 120.00°
Space group P-3m1 (No. 164)
Symmetry-distinct sites (fractional):
P: 0.0000 0.0000 0.1667 x2
Pb: 0.3333 0.6667 0.6192 x2
Se: 0.0000 0.0000 0.5000 x1
Se: 0.3333 0.6667 0.2605 x2
Se: 0.3333 0.6667 0.9078 x2

---

(2)
Density functional theory data (GGA-PBE) for a relaxed CaRe2SbCl crystal.

Output
The calculation puts the raw formation energy at 702 kJ/mol of formula units.

Cell: 4.979 4.979 6.273 Å, 90.00 90.00 90.00°
Space group P4/mmm (No. 123)
Symmetry-distinct sites (fractional):
Ca: 0.000 0.000 0.000 x1
Re: 0.000 0.500 0.500 x2
Sb: 0.000 0.000 0.500 x1
Cl: 0.500 0.500 0.000 x1

---

(3)
Density functional theory data (GGA-PBE) for a relaxed BaFe2Si crystal.

Output
The calculation puts the raw formation energy at 169 kJ/mol of formula units.

Cell: 4.692 4.692 15.856 Å, 90.00 90.00 90.00°
Space group I4_1/amd (No. 141, origin choice 2)
Symmetry-distinct sites (fractional):
Ba: 0.000 0.250 0.375 x4
Fe: 0.000 0.000 0.000 x8
Si: 0.000 0.250 0.875 x4

---

(4)
Density functional theory data (GGA-PBE) for a relaxed Y3Ge3Pd crystal.

Output
For the formation energy, the calculation gives -0.94 eV/atom.

Cell: 10.721 4.309 13.940 Å, 90.00 109.83 90.00°
Space group C2/m (No. 12)
Symmetry-distinct sites (fractional):
Y: 0.029 0.000 0.379 x4
Y: 0.101 0.000 0.922 x4
Y: 0.240 0.000 0.227 x4
Ge: 0.031 0.500 0.232 x4
Ge: 0.123 0.500 0.076 x4
Ge: 0.127 0.500 0.548 x4
Pd: 0.242 0.500 0.400 x4

---

(5)
Density functional theory data (GGA-PBE) for a relaxed YZr2Pb2 crystal.

Output
For the formation energy, the calculation gives -0.07 eV/atom. The calculation puts the energy above the lowest structure with this stoichiometry at 0.1554 eV per atom.

Cell: 8.839 8.839 3.314 Å, 90.00 90.00 90.00°
Space group P4/mbm (No. 127)
Symmetry-distinct sites (fractional):
Y: 0.000 0.000 0.000 x2
Zr: 0.120 0.380 0.000 x4
Pb: 0.176 0.676 0.500 x4

---

(6)
Density functional theory data (GGA-PBE) for a relaxed Ce2As2Pd crystal.

Output
For the formation energy, the calculation gives -1.14 eV/atom.

Cell: 4.3397 4.3397 7.4606 Å, 90.00 90.00 120.00°
Space group P-6m2 (No. 187)
Symmetry-distinct sites (fractional):
Ce: 0.0000 0.0000 0.2404 x2
As: 0.3333 0.6667 0.0000 x1
As: 0.6667 0.3333 0.5000 x1
Pd: 0.3333 0.6667 0.5000 x1

---

(7)
Density functional theory data (GGA-PBE) for a relaxed CdHgSbI crystal.

Output
The calculation puts the raw formation energy at -65 kJ/mol of formula units.

Cell: 8.364 4.832 8.481 Å, 90.00 109.40 90.00°
Space group Cm (No. 8)
Symmetry-distinct sites (fractional):
Cd: 0.000 0.000 0.000 x2
Hg: 0.046 0.500 0.646 x2
Sb: 0.383 0.500 0.654 x2
I: 0.391 0.000 0.173 x2

---

(8)
Density functional theory data (GGA-PBE) for a relaxed Ba8CuAs3Br4 crystal.

Output
The calculation puts the raw formation energy at -2119 kJ/mol of formula units.

Cell: 9.5435 9.5435 24.0440 Å, 90.00 90.00 120.00°
Space group R-3m (No. 166, hexagonal axes)
Symmetry-distinct sites (fractional):
Ba: 0.0000 0.0000 0.2397 x6
Ba: 0.0034 0.5017 0.7596 x18
Cu: 0.0000 0.0000 0.5000 x3
As: 0.0000 0.5000 0.5000 x9
Br: 0.0000 0.0000 0.0000 x3
Br: 0.0000 0.5000 0.0000 x9

---

(9)
Density functional theory data (GGA-PBE) for a relaxed Cs5RbAu4 crystal.

Output
For the formation energy, the calculation gives -0.21 eV/atom. The calculation puts the energy above the lowest structure with this stoichiometry at 0.0377 eV per atom.

Cell: 5.389 12.358 15.161 Å, 90.00 90.00 90.00°
Space group Immm (No. 71)
Symmetry-distinct sites (fractional):
Cs: 0.000 0.000 0.000 x2
Cs: 0.000 0.307 0.160 x8
Rb: 0.000 0.000 0.500 x2
Au: 0.000 0.000 0.263 x4
Au: 0.000 0.280 0.500 x4

---

(10)
Density functional theory data (GGA-PBE) for a relaxed NdSmThIn crystal.

Output
For the formation energy, the calculation gives -0.04 eV/atom.

Cell: 7.856 7.856 7.856 Å, 90.00 90.00 90.00°
Space group F-43m (No. 216)
Symmetry-distinct sites (fractional):
Nd: 0.000 0.000 0.000 x4
Sm: 0.000 0.000 0.500 x4
Th: 0.250 0.250 0.250 x4
In: 0.250 0.250 0.750 x4

---

(11)
Density functional theory data (GGA-PBE) for a relaxed Si2MoP crystal.

Output
The calculation puts the raw formation energy at 24 kJ/mol of formula units.

Cell: 3.1985 3.1985 20.2722 Å, 90.00 90.00 120.00°
Space group R3m (No. 160, hexagonal axes)
Symmetry-distinct sites (fractional):
Si: 0.0000 0.0000 0.0000 x3
Si: 0.0000 0.0000 0.2487 x3
Mo: 0.0000 0.0000 0.7552 x3
P: 0.0000 0.0000 0.5041 x3

---

(12)
Density functional theory data (GGA-PBE) for a relaxed NiHS crystal.

Output
The value obtained for the total energy is -4.3626 eV/atom.

Cell: 3.214 3.214 5.979 Å, 90.00 90.00 90.00°
Space group I4mm (No. 107)
Symmetry-distinct sites (fractional):
Ni: 0.000 0.000 0.000 x2
H: 0.000 0.000 0.245 x2
S: 0.000 0.000 0.593 x2

---

(13)
Density functional theory data (GGA-PBE) for a relaxed AcPaPb2 crystal.

Output
For the formation energy, the calculation gives -0.12 eV/atom. The calculation puts the energy above the lowest structure with this stoichiometry at 0.0000 eV per atom.

Cell: 3.660 3.660 9.276 Å, 90.00 90.00 90.00°
Space group P4/mmm (No. 123)
Symmetry-distinct sites (fractional):
Ac: 0.000 0.000 0.000 x1
Pa: 0.000 0.000 0.500 x1
Pb: 0.500 0.500 0.267 x2

---

(14)
Density functional theory data (GGA-PBE) for a relaxed Na3LiC2O6 crystal.

Output
The calculation puts the raw formation energy at -2008 kJ/mol of formula units.

Cell: 5.1644 5.1644 6.0623 Å, 90.00 90.00 120.00°
Space group P-3m1 (No. 164)
Symmetry-distinct sites (fractional):
Na: 0.0000 0.0000 0.0000 x1
Na: 0.3333 0.6667 0.7189 x2
Li: 0.0000 0.0000 0.5000 x1
C: 0.3333 0.6667 0.2689 x2
O: 0.1880 0.3760 0.2703 x6

---

(15)
Density functional theory data (GGA-PBE) for a relaxed NiRuPt2 crystal.

Output
For the formation energy, the calculation gives -0.02 eV/atom. The calculation puts the energy above the lowest structure with this stoichiometry at 0.0000 eV per atom.

Cell: 2.748 3.817 5.381 Å, 90.00 90.00 90.00°
Space group Pmmm (No. 47)
Symmetry-distinct sites (fractional):
Ni: 0.000 0.000 0.000 x1
Ru: 0.000 0.000 0.500 x1
Pt: 0.500 0.500 0.248 x2

---

(16)
Density functional theory data (GGA-PBE) for a relaxed NpTa3N6 crystal.

Output
The calculation puts the raw formation energy at -1031 kJ/mol of formula units.

Cell: 8.723 3.126 8.863 Å, 90.00 107.62 90.00°
Space group P2_1/m (No. 11)
Symmetry-distinct sites (fractional):
Np: 0.060 0.250 0.194 x2
Ta: 0.162 0.250 0.587 x2
Ta: 0.320 0.750 0.988 x2
Ta: 0.449 0.250 0.330 x2
N: 0.081 0.750 0.414 x2
N: 0.135 0.250 0.965 x2
N: 0.205 0.750 0.748 x2
N: 0.283 0.750 0.238 x2
N: 0.392 0.250 0.557 x2
N: 0.478 0.250 0.109 x2

---

(17)
Density functional theory data (GGA-PBE) for a relaxed TlZnSn2Rh crystal.

Output
For the formation energy, the calculation gives -0.04 eV/atom.

Cell: 5.121 5.121 4.951 Å, 90.00 90.00 90.00°
Space group P4/mmm (No. 123)
Symmetry-distinct sites (fractional):
Tl: 0.000 0.000 0.000 x1
Zn: 0.500 0.500 0.000 x1
Sn: 0.000 0.500 0.500 x2
Rh: 0.500 0.500 0.500 x1